# 1
Below is a geometry-optimized LaBe2Cr structure, with properties calculated at the PBE level.

```
LaBe2Cr
1.0
-0.483 -1.640 -2.556
2.870 0.599 -0.927
2.155 -5.499 3.120
Cr Be La
1 2 1
Direct
0.500 0.500 0.250
0.000 0.000 0.087
0.000 0.000 0.413
0.500 0.500 0.750
```

Output
calculated formation energy: 27 kJ per mole of atoms
energy above the most stable polymorph in this dataset: 80 meV/atom

=====

# 2
Below is a geometry-optimized CrAgPd3 structure, with properties calculated at the PBE level.

```
CrAgPd3
1.0
4.568 0.000 0.000
0.000 4.568 0.000
0.000 0.000 4.568
Cr Pd Ag
1 3 1
Direct
0.000 0.000 0.000
0.000 0.500 0.000
0.000 0.000 0.500
0.500 0.000 0.000
0.500 0.500 0.500
```

Output
calculated formation energy: 78 kJ per mole of atoms
energy above the most stable polymorph in this dataset: 0 meV/atom